[1]
## BPBr2 (PBE)

Data for BPBr2 after structural relaxation.

The structure belongs to space group I-42d (No. 122); the cell edges are 4.907, 4.907 and 16.151 Å and the angles 90.00°, 90.00° and 90.00°. The asymmetric unit holds B at (0.000, 0.000, 0.000), P at (0.000, 0.000, 0.500) and Br at (0.244, 0.250, 0.625).

The calculated density comes out at 3.44 Mg/m³. The calculation puts the relative energy among the computed polymorphs at 343 meV per atom. The uncorrected formation energy comes out at 1.348 eV/atom.



[2]
## BP3Br (PBE)

Data for BP3Br after structural relaxation.

The structure belongs to space group Pm-3m (No. 221); the cell edges are 4.274, 4.274 and 4.274 Å and the angles 90.00°, 90.00° and 90.00°. The asymmetric unit holds B at (0.000, 0.000, 0.000), P at (0.000, 0.000, 0.500) and Br at (0.500, 0.500, 0.500).

The calculated density comes out at 3.91 Mg/m³. The calculation puts the relative energy among the computed polymorphs at 0 meV per atom. The uncorrected formation energy comes out at 1.077 eV/atom.



Number 1 is which compound?
BPBr2



Among the records above, which one has the lowest relative energy among the computed polymorphs?
BP3Br



Number 1 is which compound?
BPBr2



relative energy among the computed polymorphs of number 2 (BP3Br)?
0 meV per atom